DFT (PBE-GGA) results for K2MgAgBr6 after structural relaxation.

Output
Final energy: -2.831 eV per atom
Crystal system: monoclinic
ρ: 3.67 g/cm3

a b c (Å): 7.8148 7.6984 12.7676
angles (deg): 90.00 125.71 90.00
With the nearest neighbours (Å) after each atom.
Fractional coordinates of all 20 atoms:
K 0.2289 0.0561 0.2440  7 Br 3.31-3.61
K 0.2289 0.4439 0.7440  7 Br 3.31-3.61
K 0.7711 0.5561 0.2560  7 Br 3.31-3.61
K 0.7711 0.9439 0.7560  7 Br 3.31-3.61
Mg 0.0000 0.0000 0.5000  4 Br 2.55-2.76
Mg 0.0000 0.5000 0.0000  4 Br 2.55-2.76
Ag 0.5000 0.0000 0.0000  4 Br 2.65-2.75
Ag 0.5000 0.5000 0.5000  4 Br 2.65-2.75
Br 0.1428 0.2340 0.9548  1 Mg 2.55
Br 0.1428 0.2660 0.4548  1 Mg 2.55
Br 0.2544 0.7137 0.9549  1 Ag 2.75, 1 Mg 2.89
Br 0.2544 0.7863 0.4549  1 Ag 2.75, 1 Mg 2.89
Br 0.3477 0.0267 0.7531  1 Ag 2.65, 1 Mg 2.76
Br 0.3477 0.4733 0.2531  1 Ag 2.65, 1 Mg 2.76
Br 0.6523 0.5267 0.7469  1 Ag 2.65, 1 Mg 2.76
Br 0.6523 0.9733 0.2469  1 Ag 2.65, 1 Mg 2.76
Br 0.7456 0.2137 0.5451  1 Ag 2.75, 1 Mg 2.89
Br 0.7456 0.2863 0.0451  1 Ag 2.75, 1 Mg 2.89
Br 0.8572 0.7340 0.5452  1 Mg 2.55
Br 0.8572 0.7660 0.0452  1 Mg 2.55



DFT (PBE-GGA) results for HfSc2BiH after structural relaxation.

Output
Final energy: -6.290 eV per atom
Crystal system: tetragonal
ρ: 8.64 g/cm3

a b c (Å): 4.6046 4.6046 4.3372
angles (deg): 90.00 90.00 90.00
With the nearest neighbours (Å) after each atom.
Fractional coordinates of all 5 atoms:
Hf 0.0000 0.0000 0.0000  2 H 2.17
Sc 0.0000 0.5000 0.5000  2 H 2.30
Sc 0.5000 0.0000 0.5000  2 H 2.30
Bi 0.5000 0.5000 0.0000  8 Sc 3.16, 4 Hf 3.26
H 0.0000 0.0000 0.5000  2 Hf 2.17, 4 Sc 2.30



DFT (PBE-GGA) results for La2Pr3DySe6 after structural relaxation.

Output
Final energy: -6.022 eV per atom
Crystal system: monoclinic
ρ: 6.81 g/cm3

a b c (Å): 9.4925 9.4925 8.5547
angles (deg): 102.93 102.93 25.76
With the nearest neighbours (Å) after each atom.
Fractional coordinates of all 12 atoms:
La 0.1662 0.1662 0.3339  6 Se 3.01-3.03
La 0.8338 0.8338 0.6661  6 Se 3.01-3.03
Pr 0.1695 0.1695 0.8348  6 Se 3.00-3.05
Pr 0.5000 0.5000 0.5000  6 Se 3.00-3.08
Pr 0.8305 0.8305 0.1652  6 Se 3.00-3.05
Dy 0.5000 0.5000 0.0000  6 Se 2.90-2.94
Se 0.0020 0.0020 0.7632  2 Dy 2.94, 3 Pr 3.02-3.08, 1 La 3.03
Se 0.3337 0.3337 0.4152  3 Pr 3.00, 3 La 3.01-3.02
Se 0.3390 0.3390 0.9203  1 Dy 2.90, 3 Pr 3.01-3.05, 2 La 3.02
Se 0.6610 0.6610 0.0797  1 Dy 2.90, 3 Pr 3.01-3.05, 2 La 3.02
Se 0.6663 0.6663 0.5848  3 Pr 3.00, 3 La 3.01-3.02
Se 0.9980 0.9980 0.2368  2 Dy 2.94, 3 Pr 3.02-3.08, 1 La 3.03